# Li5VF8

An optimized crystal structure of Li5VF8 (PBE with a Hubbard U, the Alexandria database).

- DOS at the Fermi energy (states/eV/cell) = 0.00
- excess energy over the best structure of this formula in the dataset (meV per atom) = 0.0

a b c (Å): 5.173 5.173 5.959
angles (deg): 90.00 90.00 111.82
Last column: magnetic moment on the atom in μB.
Atoms (fractional coordinates):
Li: 0.000 0.500 0.229  0.00
Li: 0.000 0.500 0.771  0.00
Li: 0.500 0.500 0.000  0.00
Li: 0.500 0.000 0.229  0.00
Li: 0.500 0.000 0.771  0.00
V: 0.500 0.500 0.500  1.91
F: 0.265 0.735 0.500  0.01
F: 0.270 0.730 0.000  0.00
F: 0.273 0.273 0.260  0.00
F: 0.273 0.273 0.740  0.00
F: 0.727 0.727 0.260  0.00
F: 0.727 0.727 0.740  0.00
F: 0.730 0.270 0.000  0.00
F: 0.735 0.265 0.500  0.01

---

# LiV2F7

An optimized crystal structure of LiV2F7 (PBE with a Hubbard U, the Alexandria database).

- DOS at the Fermi energy (states/eV/cell) = 0.00
- excess energy over the best structure of this formula in the dataset (meV per atom) = 73.0

a b c (Å): 4.931 4.931 10.533
angles (deg): 84.24 84.24 82.29
Last column: magnetic moment on the atom in μB.
Atoms (fractional coordinates):
Li: 0.295 0.631 0.981  0.00
Li: 0.631 0.295 0.481  0.00
V: 0.765 0.684 0.748  1.93
V: 0.684 0.765 0.248  1.93
V: 0.310 0.237 0.750  1.93
V: 0.237 0.310 0.250  1.93
F: 0.481 0.912 0.867  0.00
F: 0.573 0.998 0.630  0.00
F: 0.970 0.024 0.254  0.00
F: 0.050 0.467 0.635  0.00
F: 0.551 0.406 0.859  -0.01
F: 0.041 0.472 0.869  0.00
F: 0.540 0.499 0.636  -0.01
F: 0.406 0.551 0.359  -0.01
F: 0.998 0.573 0.130  0.00
F: 0.499 0.540 0.136  -0.01
F: 0.912 0.481 0.367  0.00
F: 0.024 0.970 0.754  0.00
F: 0.472 0.041 0.369  0.00
F: 0.467 0.050 0.135  0.00

---

# Li2VF4

An optimized crystal structure of Li2VF4 (PBE with a Hubbard U, the Alexandria database).

- DOS at the Fermi energy (states/eV/cell) = 0.00
- excess energy over the best structure of this formula in the dataset (meV per atom) = 18.3

a b c (Å): 5.766 5.479 11.132
angles (deg): 65.27 90.00 90.00
Last column: magnetic moment on the atom in μB.
Atoms (fractional coordinates):
Li: 0.859 0.591 0.199  0.00
Li: 0.360 0.091 0.700  0.00
Li: 0.359 0.409 0.301  0.00
Li: 0.860 0.909 0.800  0.00
Li: 0.140 0.091 0.200  0.00
Li: 0.641 0.591 0.699  0.00
Li: 0.640 0.909 0.300  0.00
Li: 0.141 0.409 0.801  0.00
V: 0.857 0.250 0.500  2.76
V: 0.357 0.750 0.000  2.76
V: 0.643 0.250 0.000  2.76
V: 0.143 0.750 0.500  2.76
F: 0.117 0.526 0.385  0.01
F: 0.638 0.527 0.354  0.01
F: 0.136 0.027 0.855  0.01
F: 0.615 0.026 0.883  0.01
F: 0.138 0.473 0.146  0.01
F: 0.617 0.474 0.115  0.01
F: 0.115 0.974 0.617  0.01
F: 0.636 0.973 0.645  0.01
F: 0.364 0.027 0.355  0.01
F: 0.885 0.026 0.383  0.01
F: 0.383 0.526 0.885  0.01
F: 0.862 0.527 0.854  0.01
F: 0.385 0.974 0.117  0.01
F: 0.864 0.973 0.145  0.01
F: 0.362 0.473 0.646  0.01
F: 0.883 0.474 0.615  0.01